Entry 1:
VASP calculation (PBE) on CePr8Sm3 after structural relaxation.

a = 8.8397 Å, b = 8.8397 Å, c = 11.6651 Å
α = 90.00°, β = 90.00°, γ = 90.00°
Space group I-42m (No. 121)
Unique sites:
Ce1 0.0000 0.0000 0.0000 x2
Pr1 0.1217 0.1217 0.7582 x8
Pr2 0.2386 0.2386 0.0176 x8
Sm1 0.0000 0.0000 0.5000 x2
Sm2 0.0000 0.5000 0.2500 x4

crystal system: tetragonal
ΔE_f: 0.52 eV per atom
DOS(E_F): 20.112 states/eV/f.u.

=====

Entry 2:
VASP calculation (PBE) on CePr2Sm8 after structural relaxation.

a = 17.7978 Å, b = 6.7925 Å, c = 6.4919 Å
α = 90.00°, β = 107.10°, γ = 90.00°
Space group C2/m (No. 12)
Unique sites:
Ce1 0.0000 0.0000 0.0000 x2
Pr1 0.2236 0.5000 0.1272 x4
Sm1 0.0599 0.5000 0.2329 x4
Sm2 0.1024 0.2442 0.6866 x8
Sm3 0.2045 0.0000 0.3138 x4

crystal system: monoclinic
ΔE_f: 0.19 eV per atom
DOS(E_F): 19.477 states/eV/f.u.

=====

Entry 3:
VASP calculation (PBE) on CePr12Sm3 after structural relaxation.

a = 5.2194 Å, b = 5.2194 Å, c = 20.8363 Å
α = 90.00°, β = 90.00°, γ = 90.00°
Space group P4/mmm (No. 123)
Unique sites:
Ce1 0.0000 0.0000 0.0000 x1
Pr1 0.0000 0.5000 0.1227 x4
Pr2 0.0000 0.5000 0.3743 x4
Pr3 0.5000 0.5000 0.0000 x1
Pr4 0.5000 0.5000 0.2500 x2
Pr5 0.5000 0.5000 0.5000 x1
Sm1 0.0000 0.0000 0.2490 x2
Sm2 0.0000 0.0000 0.5000 x1

crystal system: tetragonal
ΔE_f: 0.03 eV per atom
DOS(E_F): 28.858 states/eV/f.u.

=====

Entry 4:
VASP calculation (PBE) on CePr8Sm5 after structural relaxation.

a = 8.6993 Å, b = 8.7078 Å, c = 8.7243 Å
α = 112.91°, β = 116.29°, γ = 99.52°
Space group P1 (No. 1)
Unique sites:
Ce1 0.0000 0.0000 0.0000 x1
Pr1 0.0522 0.8295 0.4894 x1
Pr2 0.1984 0.4637 0.2676 x1
Pr3 0.3255 0.2961 0.6234 x1
Pr4 0.3615 0.0995 0.0078 x1
Pr5 0.5266 0.7885 0.7369 x1
Pr6 0.5379 0.5955 0.1368 x1
Pr7 0.9003 0.6442 0.0047 x1
Pr8 0.9423 0.2101 0.7343 x1
Sm1 0.1434 0.6195 0.7665 x1
Sm2 0.4191 0.9424 0.3612 x1
Sm3 0.6580 0.4309 0.4887 x1
Sm4 0.7145 0.2592 0.9774 x1
Sm5 0.8009 0.0679 0.2672 x1

crystal system: triclinic
ΔE_f: 0.16 eV per atom
DOS(E_F): 24.173 states/eV/f.u.

=====

The records above yield uncorrected energy values of -52.144 -51.163 -76.979 -65.463 eV/f.u., respectively.
The records above yield calculated density values of 6.26 7.19 6.68 6.73 g/cm3, respectively.